# 1
Zr2AlAs: relaxed, PBE.

CIF file:
```
data_Zr2AlAs
_chemical_formula_sum 'Zr2 Al1 As1'
_space_group_name_H-M_alt 'P 1'
_space_group_IT_number 1
_space_group_name_Hall 'P 1'
_cell_length_a 3.978
_cell_length_b 4.383
_cell_length_c 4.383
_cell_angle_alpha 90.00
_cell_angle_beta 90.00
_cell_angle_gamma 90.00
loop_
_atom_site_label
_atom_site_type_symbol
_atom_site_fract_x
_atom_site_fract_y
_atom_site_fract_z
_atom_site_occupancy
As1 As 0.500 0.000 0.500 1
Al1 Al 0.500 0.500 0.000 1
Zr1 Zr 0.000 0.000 0.000 1
Zr2 Zr 0.000 0.500 0.500 1
```

Values from the calculation:
**Crystal system**: tetragonal
**Energy relative to the lowest polymorph listed for this composition**: 0.2934 eV per atom
**Formation enthalpy at 0 K**: -496 meV per atom
**Space-group type**: P4/mmm (123)


# 2
ZrAl2As: relaxed, PBE.

CIF file:
```
data_ZrAl2As
_chemical_formula_sum 'Zr1 Al2 As1'
_space_group_name_H-M_alt 'P 1'
_space_group_IT_number 1
_space_group_name_Hall 'P 1'
_cell_length_a 4.731
_cell_length_b 4.731
_cell_length_c 4.731
_cell_angle_alpha 60.00
_cell_angle_beta 60.00
_cell_angle_gamma 60.00
loop_
_atom_site_label
_atom_site_type_symbol
_atom_site_fract_x
_atom_site_fract_y
_atom_site_fract_z
_atom_site_occupancy
As1 As 0.500 0.500 0.500 1
Al1 Al 0.000 0.000 0.000 1
Al2 Al 0.250 0.250 0.250 1
Zr1 Zr 0.750 0.750 0.750 1
```

Values from the calculation:
**Crystal system**: cubic
**Formation enthalpy at 0 K**: -39 meV per atom
**Space-group type**: F-43m (216)


# 3
Zr2AlAs: relaxed, PBE.

CIF file:
```
data_Zr2AlAs
_chemical_formula_sum 'Zr2 Al1 As1'
_space_group_name_H-M_alt 'P 1'
_space_group_IT_number 1
_space_group_name_Hall 'P 1'
_cell_length_a 7.406
_cell_length_b 7.406
_cell_length_c 7.406
_cell_angle_alpha 28.95
_cell_angle_beta 28.95
_cell_angle_gamma 28.95
loop_
_atom_site_label
_atom_site_type_symbol
_atom_site_fract_x
_atom_site_fract_y
_atom_site_fract_z
_atom_site_occupancy
As1 As 0.750 0.750 0.750 1
Al1 Al 0.250 0.250 0.250 1
Zr1 Zr 0.007 0.007 0.007 1
Zr2 Zr 0.493 0.493 0.493 1
```

Values from the calculation:
**Crystal system**: trigonal
**Energy relative to the lowest polymorph listed for this composition**: 0.1646 eV per atom
**Formation enthalpy at 0 K**: -625 meV per atom
**Space-group type**: R-3m (166)


# 4
Zr2AlAs: relaxed, PBE.

CIF file:
```
data_Zr2AlAs
_chemical_formula_sum 'Zr2 Al1 As1'
_space_group_name_H-M_alt 'P 1'
_space_group_IT_number 1
_space_group_name_Hall 'P 1'
_cell_length_a 4.947
_cell_length_b 4.947
_cell_length_c 3.339
_cell_angle_alpha 82.89
_cell_angle_beta 82.89
_cell_angle_gamma 102.74
loop_
_atom_site_label
_atom_site_type_symbol
_atom_site_fract_x
_atom_site_fract_y
_atom_site_fract_z
_atom_site_occupancy
As1 As 0.000 0.500 0.500 1
Al1 Al 0.500 0.000 0.500 1
Zr1 Zr 0.000 0.000 0.000 1
Zr2 Zr 0.500 0.500 0.000 1
```

Values from the calculation:
**Crystal system**: monoclinic
**Energy relative to the lowest polymorph listed for this composition**: 0.2463 eV per atom
**Formation enthalpy at 0 K**: -543 meV per atom
**Space-group type**: C2/m (12)


# 5
ZrAlAs: relaxed, PBE.

CIF file:
```
data_ZrAlAs
_chemical_formula_sum 'Zr1 Al1 As1'
_space_group_name_H-M_alt 'P 1'
_space_group_IT_number 1
_space_group_name_Hall 'P 1'
_cell_length_a 4.748
_cell_length_b 4.748
_cell_length_c 2.864
_cell_angle_alpha 90.00
_cell_angle_beta 90.00
_cell_angle_gamma 120.00
loop_
_atom_site_label
_atom_site_type_symbol
_atom_site_fract_x
_atom_site_fract_y
_atom_site_fract_z
_atom_site_occupancy
As1 As 0.333 0.667 0.168 1
Al1 Al 0.000 0.000 0.166 1
Zr1 Zr 0.667 0.333 0.666 1
```

Values from the calculation:
**Crystal system**: trigonal
**Formation enthalpy at 0 K**: -271 meV per atom
**Space-group type**: P3m1 (156)


# 6
ZrAl2As: relaxed, PBE.

CIF file:
```
data_ZrAl2As
_chemical_formula_sum 'Zr1 Al2 As1'
_space_group_name_H-M_alt 'P 1'
_space_group_IT_number 1
_space_group_name_Hall 'P 1'
_cell_length_a 2.983
_cell_length_b 2.983
_cell_length_c 8.557
_cell_angle_alpha 90.00
_cell_angle_beta 90.00
_cell_angle_gamma 96.76
loop_
_atom_site_label
_atom_site_type_symbol
_atom_site_fract_x
_atom_site_fract_y
_atom_site_fract_z
_atom_site_occupancy
As1 As 0.000 0.000 0.510 1
Al1 Al 0.000 0.000 0.003 1
Al2 Al 0.500 0.500 0.234 1
Zr1 Zr 0.500 0.500 0.752 1
```

Values from the calculation:
**Crystal system**: orthorhombic
**Formation enthalpy at 0 K**: -171 meV per atom
**Space-group type**: Cmm2 (35)


# 7
Zr2AlAs: relaxed, PBE.

CIF file:
```
data_Zr2AlAs
_chemical_formula_sum 'Zr2 Al1 As1'
_space_group_name_H-M_alt 'P 1'
_space_group_IT_number 1
_space_group_name_Hall 'P 1'
_cell_length_a 8.379
_cell_length_b 8.379
_cell_length_c 8.379
_cell_angle_alpha 24.14
_cell_angle_beta 24.14
_cell_angle_gamma 24.14
loop_
_atom_site_label
_atom_site_type_symbol
_atom_site_fract_x
_atom_site_fract_y
_atom_site_fract_z
_atom_site_occupancy
As1 As 0.755 0.755 0.755 1
Al1 Al 0.485 0.485 0.485 1
Zr1 Zr 0.012 0.012 0.012 1
Zr2 Zr 0.248 0.248 0.248 1
```

Values from the calculation:
**Crystal system**: trigonal
**Energy relative to the lowest polymorph listed for this composition**: 0.6256 eV per atom
**Formation enthalpy at 0 K**: -164 meV per atom
**Space-group type**: R3m (160)


# 8
ZrAl2As: relaxed, PBE.

CIF file:
```
data_ZrAl2As
_chemical_formula_sum 'Zr1 Al2 As1'
_space_group_name_H-M_alt 'P 1'
_space_group_IT_number 1
_space_group_name_Hall 'P 1'
_cell_length_a 4.720
_cell_length_b 2.918
_cell_length_c 5.334
_cell_angle_alpha 90.02
_cell_angle_beta 90.00
_cell_angle_gamma 90.00
loop_
_atom_site_label
_atom_site_type_symbol
_atom_site_fract_x
_atom_site_fract_y
_atom_site_fract_z
_atom_site_occupancy
As1 As 0.000 0.250 0.505 1
Al1 Al 0.000 0.249 0.994 1
Al2 Al 0.500 0.251 0.242 1
Zr1 Zr 0.500 0.750 0.758 1
```

Values from the calculation:
**Crystal system**: orthorhombic
**Formation enthalpy at 0 K**: -342 meV per atom
**Space-group type**: Pmm2 (25)